# CaZn4Co GGA-PBE optimized geometry
# E_form (kJ/mol of formula units): -14
data_CaZn4Co
_chemical_formula_sum 'Ca4 Zn16 Co4'
_cell_length_a 7.280
_cell_length_b 7.280
_cell_length_c 7.280
_cell_angle_alpha 90.00
_cell_angle_beta 90.00
_cell_angle_gamma 90.00
_space_group_name_H-M_alt 'F -4 3 m'
_space_group_IT_number 216
_space_group_name_Hall 'F -4 2 3'
loop_
_atom_site_label
_atom_site_fract_x
_atom_site_fract_y
_atom_site_fract_z
Ca1 0.000 0.000 0.000
Zn1 0.124 0.124 0.376
Co1 0.250 0.250 0.750

# CaZnCo GGA-PBE optimized geometry
# E_form (kJ/mol of formula units): -16
data_CaZnCo
_chemical_formula_sum 'Ca4 Zn4 Co4'
_cell_length_a 5.187
_cell_length_b 5.457
_cell_length_c 7.459
_cell_angle_alpha 90.00
_cell_angle_beta 90.00
_cell_angle_gamma 90.00
_space_group_name_H-M_alt 'I m m a'
_space_group_IT_number 74
_space_group_name_Hall '-I 2b 2'
loop_
_atom_site_label
_atom_site_fract_x
_atom_site_fract_y
_atom_site_fract_z
Ca1 0.000 0.250 0.117
Zn1 0.000 0.000 0.500
Co1 0.250 0.250 0.750

# CaZn2Co GGA-PBE optimized geometry
# E_form (kJ/mol of formula units): 23
data_CaZn2Co
_chemical_formula_sum 'Ca1 Zn2 Co1'
_cell_length_a 3.277
_cell_length_b 3.277
_cell_length_c 6.691
_cell_angle_alpha 90.00
_cell_angle_beta 90.00
_cell_angle_gamma 90.00
_space_group_name_H-M_alt 'P 4 m m'
_space_group_IT_number 99
loop_
_space_group_symop_operation_xyz
'x,y,z'
'-y,x,z'
'-x,-y,z'
'y,-x,z'
'-x,y,z'
'y,x,z'
'x,-y,z'
'-y,-x,z'
loop_
_atom_site_label
_atom_site_fract_x
_atom_site_fract_y
_atom_site_fract_z
Ca1 0.000 0.000 0.000
Zn1 0.000 0.000 0.439
Zn2 0.500 0.500 0.667
Co1 0.500 0.500 0.298

# CaZn3Co GGA-PBE optimized geometry
# E_form (kJ/mol of formula units): 658
# Offset from the most stable computed form (meV per atom): 1514.9
data_CaZn3Co
_chemical_formula_sum 'Ca1 Zn3 Co1'
_cell_length_a 5.570
_cell_length_b 5.570
_cell_length_c 5.570
_cell_angle_alpha 90.00
_cell_angle_beta 90.00
_cell_angle_gamma 90.00
_space_group_name_H-M_alt 'P m -3 m'
_space_group_IT_number 221
_space_group_name_Hall '-P 4 2 3'
loop_
_atom_site_label
_atom_site_fract_x
_atom_site_fract_y
_atom_site_fract_z
Ca1 0.000 0.000 0.000
Zn1 0.000 0.000 0.500
Co1 0.500 0.500 0.500

# CaZn2Co GGA-PBE optimized geometry
# E_form (kJ/mol of formula units): 66
data_CaZn2Co
_chemical_formula_sum 'Ca4 Zn8 Co4'
_cell_length_a 6.438
_cell_length_b 6.467
_cell_length_c 6.557
_cell_angle_alpha 90.00
_cell_angle_beta 90.00
_cell_angle_gamma 90.00
_space_group_name_H-M_alt 'F 2 2 2'
_space_group_IT_number 22
_space_group_name_Hall 'F 2 2'
loop_
_atom_site_label
_atom_site_fract_x
_atom_site_fract_y
_atom_site_fract_z
Ca1 0.000 0.000 0.000
Zn1 0.000 0.000 0.500
Zn2 0.250 0.250 0.250
Co1 0.250 0.250 0.750

# CaZnCo2 GGA-PBE optimized geometry
# E_form (kJ/mol of formula units): 145
data_CaZnCo2
_chemical_formula_sum 'Ca1 Zn1 Co2'
_cell_length_a 4.005
_cell_length_b 4.005
_cell_length_c 3.836
_cell_angle_alpha 90.00
_cell_angle_beta 90.00
_cell_angle_gamma 90.00
_space_group_name_H-M_alt 'P 4/m m m'
_space_group_IT_number 123
_space_group_name_Hall '-P 4 2'
loop_
_atom_site_label
_atom_site_fract_x
_atom_site_fract_y
_atom_site_fract_z
Ca1 0.000 0.000 0.000
Zn1 0.500 0.500 0.000
Co1 0.000 0.500 0.500

# CaZn2Co GGA-PBE optimized geometry
# E_form (kJ/mol of formula units): 46
data_CaZn2Co
_chemical_formula_sum 'Ca4 Zn8 Co4'
_cell_length_a 6.505
_cell_length_b 6.505
_cell_length_c 6.505
_cell_angle_alpha 90.00
_cell_angle_beta 90.00
_cell_angle_gamma 90.00
_space_group_name_H-M_alt 'F m -3 m'
_space_group_IT_number 225
_space_group_name_Hall '-F 4 2 3'
loop_
_atom_site_label
_atom_site_fract_x
_atom_site_fract_y
_atom_site_fract_z
Ca1 0.000 0.000 0.000
Zn1 0.250 0.250 0.250
Co1 0.000 0.000 0.500

# Ca2ZnCo GGA-PBE optimized geometry
# E_form (kJ/mol of formula units): 149
data_Ca2ZnCo
_chemical_formula_sum 'Ca8 Zn4 Co4'
_cell_length_a 7.842
_cell_length_b 7.842
_cell_length_c 5.876
_cell_angle_alpha 90.00
_cell_angle_beta 90.00
_cell_angle_gamma 90.00
_space_group_name_H-M_alt 'I -4 2 d'
_space_group_IT_number 122
_space_group_name_Hall 'I -4 2bw'
loop_
_atom_site_label
_atom_site_fract_x
_atom_site_fract_y
_atom_site_fract_z
Ca1 0.207 0.250 0.125
Zn1 0.000 0.000 0.500
Co1 0.000 0.000 0.000

# Ca2ZnCo GGA-PBE optimized geometry
# E_form (kJ/mol of formula units): 34
data_Ca2ZnCo
_chemical_formula_sum 'Ca4 Zn2 Co2'
_cell_length_a 11.015
_cell_length_b 4.834
_cell_length_c 3.600
_cell_angle_alpha 90.00
_cell_angle_beta 109.02
_cell_angle_gamma 90.00
_space_group_name_H-M_alt 'C 1 m 1'
_space_group_IT_number 8
loop_
_space_group_symop_operation_xyz
'x,y,z'
'x,-y,z'
'x+1/2,y+1/2,z'
'x+1/2,-y+1/2,z'
loop_
_atom_site_label
_atom_site_fract_x
_atom_site_fract_y
_atom_site_fract_z
Ca1 0.000 0.000 0.000
Ca2 0.210 0.500 0.211
Zn1 0.421 0.000 0.421
Co1 0.267 0.000 0.767

# Ca2ZnCo GGA-PBE optimized geometry
# E_form (kJ/mol of formula units): 96
data_Ca2ZnCo
_chemical_formula_sum 'Ca4 Zn2 Co2'
_cell_length_a 4.328
_cell_length_b 4.328
_cell_length_c 9.419
_cell_angle_alpha 90.00
_cell_angle_beta 90.00
_cell_angle_gamma 90.00
_space_group_name_H-M_alt 'I -4 m 2'
_space_group_IT_number 119
_space_group_name_Hall 'I -4 -2'
loop_
_atom_site_label
_atom_site_fract_x
_atom_site_fract_y
_atom_site_fract_z
Ca1 0.000 0.000 0.000
Ca2 0.000 0.500 0.250
Zn1 0.000 0.000 0.500
Co1 0.000 0.500 0.750

# CaZnCo GGA-PBE optimized geometry
# E_form (kJ/mol of formula units): 21
data_CaZnCo
_chemical_formula_sum 'Ca1 Zn1 Co1'
_cell_length_a 4.1758
_cell_length_b 4.1758
_cell_length_c 3.9442
_cell_angle_alpha 90.00
_cell_angle_beta 90.00
_cell_angle_gamma 120.00
_space_group_name_H-M_alt 'P -6 m 2'
_space_group_IT_number 187
_space_group_name_Hall 'P -6 2'
loop_
_atom_site_label
_atom_site_fract_x
_atom_site_fract_y
_atom_site_fract_z
Ca1 0.0000 0.0000 0.0000
Zn1 0.3333 0.6667 0.5000
Co1 0.6667 0.3333 0.5000

# CaZnCo GGA-PBE optimized geometry
# E_form (kJ/mol of formula units): 25
data_CaZnCo
_chemical_formula_sum 'Ca2 Zn2 Co2'
_cell_length_a 3.315
_cell_length_b 3.315
_cell_length_c 10.091
_cell_angle_alpha 90.00
_cell_angle_beta 90.00
_cell_angle_gamma 90.00
_space_group_name_H-M_alt 'I 4 m m'
_space_group_IT_number 107
_space_group_name_Hall 'I 4 -2'
loop_
_atom_site_label
_atom_site_fract_x
_atom_site_fract_y
_atom_site_fract_z
Ca1 0.000 0.000 0.000
Zn1 0.000 0.000 0.284
Co1 0.000 0.000 0.702

# Ca3ZnCo GGA-PBE optimized geometry
# E_form (kJ/mol of formula units): 95
data_Ca3ZnCo
_chemical_formula_sum 'Ca3 Zn1 Co1'
_cell_length_a 5.302
_cell_length_b 5.302
_cell_length_c 5.302
_cell_angle_alpha 90.00
_cell_angle_beta 90.00
_cell_angle_gamma 90.00
_space_group_name_H-M_alt 'P m -3 m'
_space_group_IT_number 221
_space_group_name_Hall '-P 4 2 3'
loop_
_atom_site_label
_atom_site_fract_x
_atom_site_fract_y
_atom_site_fract_z
Ca1 0.000 0.000 0.500
Zn1 0.500 0.500 0.500
Co1 0.000 0.000 0.000

# Ca2ZnCo GGA-PBE optimized geometry
# E_form (kJ/mol of formula units): -8
data_Ca2ZnCo
_chemical_formula_sum 'Ca6 Zn3 Co3'
_cell_length_a 4.1433
_cell_length_b 4.1433
_cell_length_c 21.4420
_cell_angle_alpha 90.00
_cell_angle_beta 90.00
_cell_angle_gamma 120.00
_space_group_name_H-M_alt 'R 3 m'
_space_group_IT_number 160
_space_group_name_Hall 'R 3 -2"'
loop_
_atom_site_label
_atom_site_fract_x
_atom_site_fract_y
_atom_site_fract_z
Ca1 0.0000 0.0000 0.0000
Ca2 0.0000 0.0000 0.1755
Zn1 0.0000 0.0000 0.7546
Co1 0.0000 0.0000 0.4207

# Ca2ZnCo GGA-PBE optimized geometry
# E_form (kJ/mol of formula units): 31
data_Ca2ZnCo
_chemical_formula_sum 'Ca2 Zn1 Co1'
_cell_length_a 3.415
_cell_length_b 3.415
_cell_length_c 8.041
_cell_angle_alpha 90.00
_cell_angle_beta 90.00
_cell_angle_gamma 90.00
_space_group_name_H-M_alt 'P 4 m m'
_space_group_IT_number 99
loop_
_space_group_symop_operation_xyz
'x,y,z'
'-y,x,z'
'-x,-y,z'
'y,-x,z'
'-x,y,z'
'y,x,z'
'x,-y,z'
'-y,-x,z'
loop_
_atom_site_label
_atom_site_fract_x
_atom_site_fract_y
_atom_site_fract_z
Ca1 0.000 0.000 0.000
Ca2 0.500 0.500 0.402
Zn1 0.500 0.500 0.752
Co1 0.000 0.000 0.647

# CaZnCo GGA-PBE optimized geometry
# E_form (kJ/mol of formula units): -11
data_CaZnCo
_chemical_formula_sum 'Ca4 Zn4 Co4'
_cell_length_a 10.551
_cell_length_b 4.050
_cell_length_c 6.977
_cell_angle_alpha 90.00
_cell_angle_beta 129.03
_cell_angle_gamma 90.00
_space_group_name_H-M_alt 'C 1 2/m 1'
_space_group_IT_number 12
loop_
_space_group_symop_operation_xyz
'x,y,z'
'-x,-y,-z'
'-x,y,-z'
'x,-y,z'
'x+1/2,y+1/2,z'
'-x+1/2,-y+1/2,-z'
'-x+1/2,y+1/2,-z'
'x+1/2,-y+1/2,z'
loop_
_atom_site_label
_atom_site_fract_x
_atom_site_fract_y
_atom_site_fract_z
Ca1 0.072 0.000 0.313
Zn1 0.214 0.500 0.103
Co1 0.127 0.500 0.677

# CaZnCo GGA-PBE optimized geometry
# E_form (kJ/mol of formula units): 252
data_CaZnCo
_chemical_formula_sum 'Ca4 Zn4 Co4'
_cell_length_a 6.642
_cell_length_b 6.642
_cell_length_c 6.642
_cell_angle_alpha 90.00
_cell_angle_beta 90.00
_cell_angle_gamma 90.00
_space_group_name_H-M_alt 'F -4 3 m'
_space_group_IT_number 216
_space_group_name_Hall 'F -4 2 3'
loop_
_atom_site_label
_atom_site_fract_x
_atom_site_fract_y
_atom_site_fract_z
Ca1 0.000 0.000 0.000
Zn1 0.250 0.250 0.750
Co1 0.250 0.250 0.250

# CaZnCo2 GGA-PBE optimized geometry
# E_form (kJ/mol of formula units): 149
data_CaZnCo2
_chemical_formula_sum 'Ca2 Zn2 Co4'
_cell_length_a 3.498
_cell_length_b 4.397
_cell_length_c 8.207
_cell_angle_alpha 90.00
_cell_angle_beta 90.00
_cell_angle_gamma 90.00
_space_group_name_H-M_alt 'I m m m'
_space_group_IT_number 71
_space_group_name_Hall '-I 2 2'
loop_
_atom_site_label
_atom_site_fract_x
_atom_site_fract_y
_atom_site_fract_z
Ca1 0.000 0.000 0.000
Zn1 0.000 0.000 0.500
Co1 0.000 0.500 0.234

# Ca2Zn4Co GGA-PBE optimized geometry
# E_form (kJ/mol of formula units): -33
data_Ca2Zn4Co
_chemical_formula_sum 'Ca4 Zn8 Co2'
_cell_length_a 4.595
_cell_length_b 4.595
_cell_length_c 15.085
_cell_angle_alpha 90.00
_cell_angle_beta 90.00
_cell_angle_gamma 90.00
_space_group_name_H-M_alt 'I 4/m m m'
_space_group_IT_number 139
_space_group_name_Hall '-I 4 2'
loop_
_atom_site_label
_atom_site_fract_x
_atom_site_fract_y
_atom_site_fract_z
Ca1 0.000 0.000 0.142
Zn1 0.000 0.000 0.346
Zn2 0.000 0.500 0.000
Co1 0.000 0.000 0.500

# CaZnCo2 GGA-PBE optimized geometry
# E_form (kJ/mol of formula units): -12
data_CaZnCo2
_chemical_formula_sum 'Ca3 Zn3 Co6'
_cell_length_a 4.0629
_cell_length_b 4.0629
_cell_length_c 15.2979
_cell_angle_alpha 90.00
_cell_angle_beta 90.00
_cell_angle_gamma 120.00
_space_group_name_H-M_alt 'R 3 m'
_space_group_IT_number 160
_space_group_name_Hall 'R 3 -2"'
loop_
_atom_site_label
_atom_site_fract_x
_atom_site_fract_y
_atom_site_fract_z
Ca1 0.0000 0.0000 0.0000
Zn1 0.0000 0.0000 0.1947
Co1 0.0000 0.0000 0.4788
Co2 0.0000 0.0000 0.8059